A relaxed structure of MoP2N, computed with PBE-GGA.

Calculated values
Density in g cm⁻³: 6.05
Final energy in eV per cell: -56.0
Calculated volume in Å³ per cell: 94.3
SG: P6_3/mmc, No. 194

The structure in POSCAR format:
```
MoP2N
1.0
-2.634 0.047 1.302
1.431 -2.546 -0.329
5.563 1.680 11.192
N P Mo
2 4 2
Direct
0.000 0.000 0.500
0.000 0.000 0.000
0.333 0.667 0.393
0.667 0.333 0.893
0.333 0.667 0.107
0.667 0.333 0.607
0.667 0.333 0.250
0.333 0.667 0.750
```

=====

A relaxed structure of Mo3PN2, computed with PBE-GGA.

Calculated values
Density in g cm⁻³: 8.13
Final energy in eV per cell: -110.2
Calculated volume in Å³ per cell: 141.6
SG: P6_3/mmc, No. 194

The structure in POSCAR format:
```
Mo3PN2
1.0
-1.528 -1.806 -2.196
-0.223 -0.738 3.134
-12.671 9.182 1.261
N Mo P
4 6 2
Direct
0.667 0.333 0.570
0.667 0.333 0.930
0.333 0.667 0.430
0.333 0.667 0.070
0.000 0.000 0.500
0.667 0.333 0.358
0.000 0.000 0.000
0.333 0.667 0.642
0.667 0.333 0.142
0.333 0.667 0.858
0.000 0.000 0.750
0.000 0.000 0.250
```

=====

A relaxed structure of Mo4PN3, computed with PBE-GGA.

Calculated values
Density in g cm⁻³: 8.33
Final energy in eV per cell: -148.9
Calculated volume in Å³ per cell: 182.2
SG: P6_3/mmc, No. 194

The structure in POSCAR format:
```
Mo4PN3
1.0
3.137 0.000 0.000
-1.568 2.716 0.000
0.000 0.000 21.381
P N Mo
2 6 8
Direct
0.333 0.667 0.250
0.667 0.333 0.750
0.333 0.667 0.889
0.667 0.333 0.111
0.000 0.000 0.500
0.333 0.667 0.611
0.000 0.000 0.000
0.667 0.333 0.389
0.000 0.000 0.171
0.000 0.000 0.329
0.667 0.333 0.951
0.667 0.333 0.549
0.000 0.000 0.671
0.333 0.667 0.451
0.333 0.667 0.049
0.000 0.000 0.829
```

=====

A relaxed structure of Mo2PN, computed with PBE-GGA.

Calculated values
Energy relative to the lowest polymorph listed for this composition in meV per atom: 0
Density in g cm⁻³: 8.00
Final energy in eV per cell: -217.7
Calculated volume in Å³ per cell: 294.9
SG: C2/c, No. 15

The structure in POSCAR format:
```
Mo2PN
1.0
-4.044 -3.094 -1.442
0.640 -3.659 -3.769
4.447 -5.746 10.351
Mo P N
12 6 6
Direct
0.311 0.119 0.907
0.119 0.311 0.407
0.881 0.689 0.593
0.689 0.881 0.093
0.537 0.358 0.622
0.943 0.803 0.897
0.197 0.057 0.603
0.463 0.642 0.378
0.057 0.197 0.103
0.642 0.463 0.878
0.803 0.943 0.397
0.358 0.537 0.122
0.948 0.052 0.750
0.227 0.418 0.753
0.052 0.948 0.250
0.582 0.773 0.747
0.773 0.582 0.247
0.418 0.227 0.253
0.347 0.791 0.999
0.000 0.500 0.000
0.653 0.209 0.001
0.791 0.347 0.499
0.209 0.653 0.501
0.500 0.000 0.500
```

=====

A relaxed structure of SbMo4PN2, computed with PBE-GGA.

Calculated values
Density in g cm⁻³: 8.70
Final energy in eV per cell: -69.6
Calculated volume in Å³ per cell: 107.7
SG: P-6m2, No. 187

The structure in POSCAR format:
```
SbMo4PN2
1.0
-0.541 -2.882 -1.084
2.627 1.499 -0.789
5.863 -4.925 10.167
N Sb Mo P
2 1 4 1
Direct
0.333 0.667 0.762
0.333 0.667 0.238
0.667 0.333 0.500
0.000 0.000 0.324
0.000 0.000 0.676
0.667 0.333 0.131
0.667 0.333 0.869
0.000 0.000 0.000
```

=====

A relaxed structure of SbMo4PN2, computed with PBE-GGA.

Calculated values
Density in g cm⁻³: 8.71
Final energy in eV per cell: -69.6
Calculated volume in Å³ per cell: 107.6
SG: P-6m2, No. 187

The structure in POSCAR format:
```
SbMo4PN2
1.0
3.126 0.000 0.000
-1.563 2.707 0.000
0.000 0.000 12.719
N Mo Sb P
2 4 1 1
Direct
0.667 0.333 0.262
0.667 0.333 0.738
0.000 0.000 0.176
0.000 0.000 0.824
0.333 0.667 0.368
0.333 0.667 0.632
0.333 0.667 0.000
0.000 0.000 0.500
```

=====

A relaxed structure of Sc4Mo2P3N3, computed with PBE-GGA.

Calculated values
Density in g cm⁻³: 5.14
Final energy in eV per cell: -204.9
Calculated volume in Å³ per cell: 327.4
SG: C2/c, No. 15

The structure in POSCAR format:
```
Sc4Mo2P3N3
1.0
4.912 -2.858 0.000
4.912 2.858 0.000
-3.240 0.000 11.662
Mo P N Sc
4 6 6 8
Direct
0.625 0.470 0.411
0.530 0.375 0.089
0.375 0.530 0.589
0.470 0.625 0.911
0.718 0.582 0.750
0.418 0.282 0.750
0.282 0.418 0.250
0.116 0.884 0.750
0.582 0.718 0.250
0.884 0.116 0.250
0.500 0.000 0.000
0.326 0.848 0.500
0.152 0.674 0.000
0.000 0.500 0.500
0.674 0.152 0.500
0.848 0.326 0.000
0.703 0.865 0.605
0.796 0.967 0.895
0.297 0.135 0.395
0.033 0.204 0.605
0.204 0.033 0.105
0.967 0.796 0.395
0.865 0.703 0.105
0.135 0.297 0.895
```

=====

A relaxed structure of SiMo4PN2, computed with PBE-GGA.

Calculated values
Density in g cm⁻³: 7.89
Final energy in eV per cell: -72.1
Calculated volume in Å³ per cell: 99.1
SG: P-6m2, No. 187

The structure in POSCAR format:
```
SiMo4PN2
1.0
2.992 0.000 0.000
-1.496 2.591 0.000
0.000 0.000 12.778
Mo P N Si
4 1 2 1
Direct
0.000 0.000 0.349
0.000 0.000 0.651
0.333 0.667 0.140
0.333 0.667 0.860
0.000 0.000 0.000
0.667 0.333 0.246
0.667 0.333 0.754
0.333 0.667 0.500
```

=====

A relaxed structure of SnMo4PN2, computed with PBE-GGA.

Calculated values
Density in g cm⁻³: 8.21
Final energy in eV per cell: -70.7
Calculated volume in Å³ per cell: 113.5
SG: P-6m2, No. 187

The structure in POSCAR format:
```
SnMo4PN2
1.0
3.319 0.000 0.000
-1.659 2.874 0.000
0.000 0.000 11.904
Mo Sn N P
4 1 2 1
Direct
0.000 0.000 0.302
0.333 0.667 0.870
0.333 0.667 0.130
0.000 0.000 0.698
0.333 0.667 0.500
0.667 0.333 0.745
0.667 0.333 0.255
0.000 0.000 0.000
```

=====

A relaxed structure of Mo2P3W4N3, computed with PBE-GGA.

Calculated values
Density in g cm⁻³: 11.91
Final energy in eV per cell: -230.5
Calculated volume in Å³ per cell: 296.3
SG: C2/c, No. 15

The structure in POSCAR format:
```
Mo2P3W4N3
1.0
0.242 3.295 -4.118
-4.253 0.770 -3.031
-1.986 7.793 9.894
N W P Mo
6 8 6 4
Direct
0.210 0.655 0.500
0.500 0.000 0.500
0.790 0.345 0.500
0.655 0.210 0.000
0.000 0.500 0.000
0.345 0.790 0.000
0.309 0.122 0.907
0.122 0.309 0.407
0.196 0.054 0.601
0.804 0.946 0.399
0.878 0.691 0.593
0.054 0.196 0.101
0.946 0.804 0.899
0.691 0.878 0.093
0.949 0.051 0.750
0.418 0.226 0.254
0.051 0.949 0.250
0.774 0.582 0.246
0.226 0.418 0.754
0.582 0.774 0.746
0.641 0.463 0.874
0.359 0.537 0.126
0.463 0.641 0.374
0.537 0.359 0.626
```

=====

A relaxed structure of Y4Mo2P3N3, computed with PBE-GGA.

Calculated values
Density in g cm⁻³: 5.94
Final energy in eV per cell: -202.8
Calculated volume in Å³ per cell: 381.5
SG: C2/c, No. 15

The structure in POSCAR format:
```
Y4Mo2P3N3
1.0
-1.389 5.854 -0.030
-5.733 1.704 0.657
3.771 -1.991 11.827
P N Y Mo
6 6 8 4
Direct
0.420 0.306 0.250
0.306 0.420 0.750
0.694 0.580 0.250
0.858 0.142 0.750
0.580 0.694 0.750
0.142 0.858 0.250
0.500 0.000 0.500
0.831 0.335 0.500
0.169 0.665 0.500
0.335 0.831 0.000
0.665 0.169 0.000
0.000 0.500 0.000
0.294 0.135 0.892
0.865 0.706 0.608
0.204 0.036 0.609
0.964 0.796 0.891
0.796 0.964 0.391
0.706 0.865 0.108
0.036 0.204 0.109
0.135 0.294 0.392
0.381 0.529 0.086
0.529 0.381 0.586
0.619 0.471 0.914
0.471 0.619 0.414
```

=====

A relaxed structure of Zr2Mo4P3N3, computed with PBE-GGA.

Calculated values
Density in g cm⁻³: 7.22
Final energy in eV per cell: -218.9
Calculated volume in Å³ per cell: 322.7
SG: C2/c, No. 15

The structure in POSCAR format:
```
Zr2Mo4P3N3
1.0
-2.392 1.556 -4.849
-5.610 0.298 -0.319
3.109 10.536 5.135
Zr P Mo N
4 6 8 6
Direct
0.533 0.356 0.106
0.356 0.533 0.606
0.644 0.467 0.394
0.467 0.644 0.894
0.425 0.211 0.750
0.945 0.055 0.250
0.575 0.789 0.250
0.211 0.425 0.250
0.055 0.945 0.750
0.789 0.575 0.750
0.710 0.883 0.595
0.175 0.055 0.092
0.883 0.710 0.095
0.055 0.175 0.592
0.290 0.117 0.405
0.825 0.945 0.908
0.117 0.290 0.905
0.945 0.825 0.408
0.000 0.500 0.500
0.185 0.657 0.001
0.815 0.343 0.999
0.500 0.000 0.000
0.343 0.815 0.499
0.657 0.185 0.501
```

=====

A relaxed structure of Zr4Mo2P3N3, computed with PBE-GGA.

Calculated values
Density in g cm⁻³: 6.73
Final energy in eV per cell: -219.8
Calculated volume in Å³ per cell: 341.5
SG: C2/c, No. 15

The structure in POSCAR format:
```
Zr4Mo2P3N3
1.0
5.003 -2.891 0.000
5.003 2.891 0.000
-3.279 0.000 11.806
Mo Zr N P
4 8 6 6
Direct
0.620 0.470 0.408
0.470 0.620 0.908
0.530 0.380 0.092
0.380 0.530 0.592
0.297 0.144 0.397
0.789 0.976 0.897
0.211 0.024 0.103
0.703 0.856 0.603
0.144 0.297 0.897
0.024 0.211 0.603
0.976 0.789 0.397
0.856 0.703 0.103
0.325 0.852 0.500
0.675 0.148 0.500
0.852 0.325 0.000
0.000 0.500 0.500
0.148 0.675 0.000
0.500 0.000 0.000
0.283 0.418 0.249
0.717 0.582 0.751
0.118 0.882 0.750
0.418 0.283 0.749
0.582 0.717 0.251
0.882 0.118 0.250
```

=====

A relaxed structure of PaMo4N2, computed with PBE-GGA.

Calculated values
Density in g cm⁻³: 9.91
Final energy in eV per cell: -68.4
Calculated volume in Å³ per cell: 107.7
SG: P-3m1, No. 164

The structure in POSCAR format:
```
PaMo4N2
1.0
3.420 0.000 0.000
-1.710 2.962 0.000
0.000 0.000 10.632
N Mo Pa
2 4 1
Direct
0.333 0.667 0.106
0.667 0.333 0.894
0.333 0.667 0.888
0.667 0.333 0.112
0.333 0.667 0.312
0.667 0.333 0.688
0.000 0.000 0.500
```

=====

A relaxed structure of Pa3MoN6, computed with PBE-GGA.

Calculated values
Density in g cm⁻³: 10.29
Final energy in eV per cell: -205.1
Calculated volume in Å³ per cell: 281.7
SG: Cmc2_1, No. 36

The structure in POSCAR format:
```
Pa3MoN6
1.0
4.553 -5.596 0.000
4.553 5.596 0.000
0.000 0.000 5.527
Pa N Mo
6 12 2
Direct
0.090 0.301 0.530
0.910 0.699 0.030
0.699 0.910 0.530
0.301 0.090 0.030
0.393 0.607 0.072
0.607 0.393 0.572
0.584 0.109 0.812
0.891 0.416 0.812
0.782 0.218 0.347
0.032 0.968 0.312
0.330 0.358 0.801
0.416 0.891 0.312
0.218 0.782 0.847
0.642 0.670 0.801
0.968 0.032 0.812
0.670 0.642 0.301
0.109 0.584 0.312
0.358 0.330 0.301
0.817 0.183 0.998
0.183 0.817 0.498
```

=====

A relaxed structure of Mo2PbN, computed with PBE-GGA.

Calculated values
Density in g cm⁻³: 10.86
Final energy in eV per cell: -198.2
Calculated volume in Å³ per cell: 378.8
SG: P6_3/mmc, No. 194

The structure in POSCAR format:
```
Mo2PbN
1.0
4.977 -2.873 0.000
4.977 2.873 0.000
-3.309 0.000 13.247
Mo N Pb
12 6 6
Direct
0.309 0.142 0.428
0.976 0.809 0.428
0.357 0.524 0.572
0.809 0.976 0.928
0.476 0.643 0.928
0.524 0.357 0.072
0.191 0.024 0.072
0.142 0.309 0.928
0.643 0.476 0.428
0.858 0.691 0.072
0.024 0.191 0.572
0.691 0.858 0.572
0.500 0.000 0.000
0.833 0.333 0.000
0.667 0.167 0.500
0.333 0.833 0.500
0.000 0.500 0.500
0.167 0.667 0.000
0.083 0.917 0.750
0.917 0.083 0.250
0.584 0.749 0.250
0.749 0.584 0.750
0.251 0.416 0.250
0.416 0.251 0.750
```

=====

A relaxed structure of Mo3PbN2, computed with PBE-GGA.

Calculated values
Density in g cm⁻³: 10.41
Final energy in eV per cell: -104.1
Calculated volume in Å³ per cell: 166.9
SG: P6_3/mmc, No. 194

The structure in POSCAR format:
```
Mo3PbN2
1.0
-1.389 1.472 -2.599
-1.162 -2.890 1.072
-11.215 8.522 10.821
N Mo Pb
4 6 2
Direct
0.333 0.667 0.431
0.333 0.667 0.069
0.667 0.333 0.569
0.667 0.333 0.931
0.000 0.000 0.500
0.000 0.000 0.000
0.333 0.667 0.884
0.333 0.667 0.616
0.667 0.333 0.116
0.667 0.333 0.384
0.000 0.000 0.750
0.000 0.000 0.250
```

=====

A relaxed structure of Mo2PbN, computed with PBE-GGA.

Calculated values
Density in g cm⁻³: 10.88
Final energy in eV per cell: -66.1
Calculated volume in Å³ per cell: 126.1
SG: P6_3/mmc, No. 194

The structure in POSCAR format:
```
Mo2PbN
1.0
-2.333 -1.898 -1.392
3.183 -0.909 -0.150
-1.366 -6.662 11.379
Mo N Pb
4 2 2
Direct
0.667 0.333 0.928
0.333 0.667 0.072
0.667 0.333 0.572
0.333 0.667 0.428
0.000 0.000 0.000
0.000 0.000 0.500
0.333 0.667 0.750
0.667 0.333 0.250
```